VASP calculation (PBE) on crystalline DyHg2 at its relaxed geometry.

Computed properties:
The spin magnetization is 0.0 μB per cell. The symmetry is Fd-3m, No. 227. The calculated formation energy is -198 meV/atom. The value obtained for the electronic total energy is -0.1419 Ry per atom.

Cell: 5.9019 5.9019 5.9019 Å, 60.00 60.00 60.00°
Sites, in units of the cell vectors:
Hg 0.6250 0.6250 0.1250
Hg 0.6250 0.1250 0.6250
Hg 0.6250 0.6250 0.6250
Hg 0.1250 0.6250 0.6250
Dy 0.2500 0.2500 0.2500
Dy 0.0000 0.0000 0.0000